# 1
First-principles (PBE) data for a relaxed structure of BaBiTe2Pt, as listed in the Alexandria database.

Unit cell a=5.7708 b=5.7708 c=6.8852 alpha=90.00 beta=90.00 gamma=90.00
Space group P4/mmm (No. 123)
Asymmetric unit:
Ba 0.0000 0.0000 0.0000 x1
Bi 0.0000 0.0000 0.5000 x1
Te 0.0000 0.5000 0.5000 x2
Pt 0.5000 0.5000 0.0000 x1

Computed properties:
energy relative to the elements, uncorrected: 53.8 kJ per mole of atoms

***

# 2
First-principles (PBE) data for a relaxed structure of Ba2TlBiPt, as listed in the Alexandria database.

Unit cell a=6.0725 b=6.0725 c=5.2853 alpha=90.00 beta=90.00 gamma=90.00
Space group P4/mmm (No. 123)
Asymmetric unit:
Ba 0.0000 0.5000 0.0000 x2
Tl 0.0000 0.0000 0.5000 x1
Bi 0.5000 0.5000 0.5000 x1
Pt 0.0000 0.0000 0.0000 x1

Computed properties:
uncorrected energy: -3.861 eV per atom

***

# 3
First-principles (PBE) data for a relaxed structure of BaTl2BiPt, as listed in the Alexandria database.

Unit cell a=5.3318 b=5.3318 c=6.1216 alpha=90.00 beta=90.00 gamma=90.00
Space group P4/mmm (No. 123)
Asymmetric unit:
Ba 0.0000 0.0000 0.0000 x1
Tl 0.0000 0.5000 0.5000 x2
Bi 0.5000 0.5000 0.0000 x1
Pt 0.0000 0.0000 0.5000 x1

Computed properties:
uncorrected energy: -3.654 eV per atom

***

# 4
First-principles (PBE) data for a relaxed structure of Ba2TlBi3Pt4, as listed in the Alexandria database.

Unit cell a=4.9743 b=4.9743 c=10.9189 alpha=90.00 beta=90.00 gamma=90.00
Space group P-4m2 (No. 115)
Asymmetric unit:
Ba 0.0000 0.5000 0.2413 x2
Tl 0.0000 0.0000 0.5000 x1
Bi 0.0000 0.5000 0.8794 x2
Bi 0.5000 0.5000 0.5000 x1
Pt 0.0000 0.0000 0.0000 x1
Pt 0.0000 0.5000 0.6249 x2
Pt 0.5000 0.5000 0.0000 x1

Computed properties:
uncorrected energy: -4.767 eV per atom

***

# 5
First-principles (PBE) data for a relaxed structure of BaYBi2Pt, as listed in the Alexandria database.

Unit cell a=6.0548 b=6.0548 c=5.9443 alpha=90.00 beta=90.00 gamma=90.00
Space group P4/mmm (No. 123)
Asymmetric unit:
Ba 0.0000 0.0000 0.0000 x1
Y 0.0000 0.0000 0.5000 x1
Bi 0.0000 0.5000 0.0000 x2
Pt 0.5000 0.5000 0.5000 x1

Computed properties:
uncorrected energy: -2.941 eV per atom

***

# 6
First-principles (PBE) data for a relaxed structure of Ba2ZnBiPt, as listed in the Alexandria database.

Unit cell a=6.1233 b=6.1233 c=4.8834 alpha=90.00 beta=90.00 gamma=90.00
Space group P4/mmm (No. 123)
Asymmetric unit:
Ba 0.0000 0.5000 0.0000 x2
Zn 0.0000 0.0000 0.5000 x1
Bi 0.5000 0.5000 0.5000 x1
Pt 0.0000 0.0000 0.0000 x1

Computed properties:
uncorrected energy: -3.641 eV per atom

***

# 7
First-principles (PBE) data for a relaxed structure of BaPuBi2, as listed in the Alexandria database.

Unit cell a=4.7904 b=4.7904 c=23.7377 alpha=90.00 beta=90.00 gamma=120.00
Space group R-3m (No. 166, hexagonal axes)
Asymmetric unit:
Ba 0.0000 0.0000 0.0000 x3
Pu 0.0000 0.0000 0.5000 x3
Bi 0.0000 0.0000 0.2357 x6

Computed properties:
uncorrected energy: -6.533 eV per atom

***

# 8
First-principles (PBE) data for a relaxed structure of Ba5PuBi5, as listed in the Alexandria database.

Unit cell a=16.2531 b=6.9680 c=9.8328 alpha=90.00 beta=108.64 gamma=90.00
Space group C2/m (No. 12)
Asymmetric unit:
Ba 0.0000 0.0000 0.0000 x2
Ba 0.1736 0.5000 0.3465 x4
Ba 0.1887 0.5000 0.8219 x4
Pu 0.0000 0.0000 0.5000 x2
Bi 0.0000 0.5000 0.5000 x2
Bi 0.1440 0.0000 0.3435 x4
Bi 0.1522 0.0000 0.8127 x4

Computed properties:
uncorrected energy: -4.597 eV per atom

***

# 9
First-principles (PBE) data for a relaxed structure of BaPuBi2, as listed in the Alexandria database.

Unit cell a=6.2436 b=6.2436 c=3.5140 alpha=90.00 beta=90.00 gamma=90.00
Space group P4/mmm (No. 123)
Asymmetric unit:
Ba 0.0000 0.0000 0.0000 x1
Pu 0.5000 0.5000 0.0000 x1
Bi 0.0000 0.5000 0.5000 x2

Computed properties:
uncorrected energy: -6.478 eV per atom

***

# 10
First-principles (PBE) data for a relaxed structure of BaPuBi2, as listed in the Alexandria database.

Unit cell a=8.2594 b=8.2594 c=8.2594 alpha=90.00 beta=90.00 gamma=90.00
Space group Fm-3m (No. 225)
Asymmetric unit:
Ba 0.0000 0.0000 0.0000 x4
Pu 0.0000 0.0000 0.5000 x4
Bi 0.2500 0.2500 0.2500 x8

Computed properties:
uncorrected energy: -6.410 eV per atom

***

# 11
First-principles (PBE) data for a relaxed structure of BaPuBi2, as listed in the Alexandria database.

Unit cell a=3.9039 b=3.9039 c=8.9738 alpha=90.00 beta=90.00 gamma=90.00
Space group P4/mmm (No. 123)
Asymmetric unit:
Ba 0.0000 0.0000 0.0000 x1
Pu 0.0000 0.0000 0.5000 x1
Bi 0.5000 0.5000 0.2752 x2

Computed properties:
uncorrected energy: -6.521 eV per atom

***

# 12
First-principles (PBE) data for a relaxed structure of Ba3PuBi3, as listed in the Alexandria database.

Unit cell a=9.8842 b=15.0172 c=8.9854 alpha=90.00 beta=96.54 gamma=90.00
Space group C2/m (No. 12)
Asymmetric unit:
Ba 0.0000 0.1662 0.0000 x4
Ba 0.0000 0.2243 0.5000 x4
Ba 0.1111 0.5000 0.8547 x4
Pu 0.2062 0.0000 0.6280 x4
Bi 0.0884 0.0000 0.2901 x4
Bi 0.1752 0.3337 0.2101 x8

Computed properties:
uncorrected energy: -5.175 eV per atom

***

# 13
First-principles (PBE) data for a relaxed structure of Ba3PuBi6, as listed in the Alexandria database.

Unit cell a=13.8487 b=13.8487 c=13.9262 alpha=90.00 beta=90.00 gamma=120.00
Space group R-3c (No. 167, hexagonal axes)
Asymmetric unit:
Ba 0.0000 0.4299 0.2500 x18
Pu 0.0000 0.0000 0.0000 x6
Bi 0.0665 0.2066 0.3475 x36

Computed properties:
uncorrected energy: -4.831 eV per atom

***

# 14
First-principles (PBE) data for a relaxed structure of BaPu3Bi3, as listed in the Alexandria database.

Unit cell a=8.7479 b=8.7479 c=8.7479 alpha=90.00 beta=90.00 gamma=90.00
Space group Pm-3n (No. 223)
Asymmetric unit:
Ba 0.0000 0.0000 0.0000 x2
Pu 0.0000 0.2500 0.5000 x6
Bi 0.0000 0.5000 0.2500 x6

Computed properties:
uncorrected energy: -8.011 eV per atom

***

# 15
First-principles (PBE) data for a relaxed structure of BaPuBi4, as listed in the Alexandria database.

Unit cell a=9.4587 b=9.4587 c=9.4587 alpha=90.00 beta=90.00 gamma=90.00
Space group F-43m (No. 216)
Asymmetric unit:
Ba 0.0000 0.0000 0.0000 x4
Pu 0.2500 0.2500 0.2500 x4
Bi 0.1244 0.1244 0.6244 x16

Computed properties:
uncorrected energy: -5.522 eV per atom

***

# 16
First-principles (PBE) data for a relaxed structure of BaPuBi2, as listed in the Alexandria database.

Unit cell a=4.7299 b=4.7299 c=24.5844 alpha=90.00 beta=90.00 gamma=120.00
Space group R3m (No. 160, hexagonal axes)
Asymmetric unit:
Ba 0.0000 0.0000 0.0000 x3
Pu 0.0000 0.0000 0.8293 x3
Bi 0.0000 0.0000 0.2331 x3
Bi 0.0000 0.0000 0.4279 x3

Computed properties:
uncorrected energy: -6.490 eV per atom

***

# 17
First-principles (PBE) data for a relaxed structure of BaPuBi4Rh2, as listed in the Alexandria database.

Unit cell a=4.8141 b=4.8141 c=10.7170 alpha=90.00 beta=90.00 gamma=90.00
Space group P4/mmm (No. 123)
Asymmetric unit:
Ba 0.0000 0.0000 0.0000 x1
Pu 0.0000 0.0000 0.5000 x1
Bi 0.0000 0.5000 0.2599 x4
Rh 0.5000 0.5000 0.3795 x2

Computed properties:
uncorrected energy: -6.090 eV per atom

***

# 18
First-principles (PBE) data for a relaxed structure of BaPuTlBi, as listed in the Alexandria database.

Unit cell a=8.2003 b=8.2003 c=8.2003 alpha=90.00 beta=90.00 gamma=90.00
Space group F-43m (No. 216)
Asymmetric unit:
Ba 0.0000 0.0000 0.0000 x4
Pu 0.0000 0.0000 0.5000 x4
Tl 0.2500 0.2500 0.2500 x4
Bi 0.2500 0.2500 0.7500 x4

Computed properties:
uncorrected energy: -5.867 eV per atom

***

# 19
First-principles (PBE) data for a relaxed structure of RbBaBi2, as listed in the Alexandria database.

Unit cell a=9.8775 b=9.8775 c=6.9734 alpha=90.00 beta=90.00 gamma=90.00
Space group I-42d (No. 122)
Asymmetric unit:
Rb 0.0000 0.0000 0.0000 x4
Ba 0.0000 0.0000 0.5000 x4
Bi 0.2442 0.2500 0.6250 x8

Computed properties:
uncorrected energy: -2.926 eV per atom

***

# 20
First-principles (PBE) data for a relaxed structure of RbBa2Bi, as listed in the Alexandria database.

Unit cell a=10.7398 b=10.7398 c=8.3503 alpha=90.00 beta=90.00 gamma=90.00
Space group I-42d (No. 122)
Asymmetric unit:
Rb 0.0000 0.0000 0.0000 x4
Ba 0.1770 0.2500 0.6250 x8
Bi 0.0000 0.0000 0.5000 x4

Computed properties:
uncorrected energy: -2.485 eV per atom